Below is Tm2PbS after structural relaxation, with properties calculated at the PBE level.

Values from the calculation:
Uncorrected formation energy   -1.171 eV/atom
Energy above the lowest structure with this stoichiometry   0.000 eV per atom
N(E_F)   1.41 states/eV/cell

POSCAR file:
```
Tm2PbS
1.0
-0.1042 2.0721 -3.0997
-1.3948 -1.4271 -3.1513
-7.8379 2.8916 -0.0478
Tm Pb S
2 1 1
direct
0.0650 0.0650 0.8050
0.2683 0.2683 0.1950
0.4993 0.4993 0.5021
0.6674 0.6674 0.9979
```